(1)
This record from Alexandria describes a crystal of HgPb3 relaxed with PBEsol. The functional is SCAN.

Values from the calculation:
volume = 113.06 Å³/cell
ΔH_f (0 K) = 0.031 eV/atom

Cell lengths 3.4078, 3.4078, 11.2419 Å; angles 90.00, 90.00, 120.00 degrees
Closest atoms and distances in Å follow each position.
Space group P-6m2 (No. 187)
Symmetry-distinct sites (fractional):
Hg1 0.0000 0.0000 0.0000 [1 per cell]  6 Pb 3.32, 6 Hg 3.41
Pb1 0.0000 0.0000 0.5000 [1 per cell]  12 Pb 3.41-3.55
Pb2 0.3333 0.6667 0.2375 [2 per cell]  3 Hg 3.32, 9 Pb 3.41-3.55



(2)
This record from Alexandria describes a crystal of HgPb relaxed with PBEsol. The functional is SCAN.

Values from the calculation:
volume = 314.72 Å³/cell
ΔH_f (0 K) = 0.039 eV/atom

Cell lengths 11.6907, 3.7340, 7.5985 Å; angles 90.00, 108.41, 90.00 degrees
Closest atoms and distances in Å follow each position.
Space group Cm (No. 8)
Symmetry-distinct sites (fractional):
Hg1 0.0000 0.0000 0.0000 [2 per cell]  2 Hg 3.15, 6 Pb 3.21-3.29
Hg2 0.0312 0.0000 0.5028 [2 per cell]  2 Hg 3.06, 6 Pb 3.19-3.28
Hg3 0.1634 0.5000 0.3126 [2 per cell]  4 Hg 3.06-3.15, 4 Pb 3.22-3.34
Pb1 0.1706 0.5000 0.8439 [2 per cell]  4 Hg 3.19-3.22, 4 Pb 3.38-3.46
Pb2 0.3480 0.0000 0.6471 [2 per cell]  7 Hg 3.28-3.51, 4 Pb 3.46-3.59
Pb3 0.3507 0.0000 0.1935 [2 per cell]  7 Hg 3.21-3.48, 3 Pb 3.38-3.46



(3)
This record from Alexandria describes a crystal of Hg2Pb3 relaxed with PBEsol. The functional is SCAN.

Values from the calculation:
volume = 406.41 Å³/cell
ΔH_f (0 K) = 0.031 eV/atom

Cell lengths 3.4526, 3.4526, 39.3687 Å; angles 90.00, 90.00, 120.00 degrees
Closest atoms and distances in Å follow each position.
Space group R-3m (No. 166, hexagonal axes)
Symmetry-distinct sites (fractional):
Hg1 0.0000 0.0000 0.1015 [6 per cell]  6 Pb 3.25-3.26, 6 Hg 3.45
Pb1 0.0000 0.0000 0.2972 [6 per cell]  3 Hg 3.26, 9 Pb 3.45-3.47
Pb2 0.0000 0.0000 0.5000 [3 per cell]  6 Hg 3.25, 6 Pb 3.45



Question: Number 1 is which compound?
Answer: HgPb3



Question: Which value of ΔH_f (0 K) does entry 3 give?
Answer: 0.031 eV/atom